This record from the Alexandria database describes a relaxed Rb2GaBi crystal. The functional is GGA-PBE.

Lattice parameters (Å, degrees): 6.835 6.835 6.835 140.99 79.15 114.29
Positions (direct):
1 Rb 0.187 0.000 0.187
2 Rb 0.813 0.000 0.813
3 Ga 0.719 0.219 0.500
4 Bi 0.484 0.484 0.000

Calculated density, g/cm³: 4.19
E above lowest polymorph, meV/atom: 0.0
Formation enthalpy at 0 K, eV per atom: -0.21
Calculated total energy, eV per cell: -9.69

---

This record from the Alexandria database describes a relaxed RbGaBi2 crystal. The functional is GGA-PBE.

Lattice parameters (Å, degrees): 7.305 7.305 7.305 43.57 43.57 43.57
Positions (direct):
1 Rb 0.000 0.000 0.000
2 Ga 0.500 0.500 0.500
3 Bi 0.192 0.192 0.192
4 Bi 0.808 0.808 0.808

Calculated density, g/cm³: 5.66
Formation enthalpy at 0 K, eV per atom: -0.04
Calculated total energy, eV per cell: -11.93

---

This record from the Alexandria database describes a relaxed RbGaBiSe3 crystal. The functional is GGA-PBE.

Lattice parameters (Å, degrees): 9.293 4.645 9.965 90.00 104.95 90.00
Positions (direct):
1 Rb 0.187 0.250 0.224
2 Rb 0.813 0.750 0.776
3 Ga 0.108 0.250 0.594
4 Ga 0.892 0.750 0.406
5 Bi 0.344 0.750 0.862
6 Bi 0.656 0.250 0.138
7 Se 0.130 0.250 0.849
8 Se 0.181 0.750 0.524
9 Se 0.445 0.750 0.148
10 Se 0.555 0.250 0.852
11 Se 0.819 0.250 0.476
12 Se 0.870 0.750 0.151

Uncorrected formation energy, eV per formula unit: -3.89
Calculated density, g/cm³: 4.80
Calculated total energy, eV per cell: -44.45

---

This record from the Alexandria database describes a relaxed RbGaSnBi2 crystal. The functional is GGA-PBE.

Lattice parameters (Å, degrees): 5.735 5.735 5.492 90.00 90.00 90.00
Positions (direct):
1 Rb 0.000 0.000 0.000
2 Ga 0.500 0.500 0.500
3 Sn 0.500 0.500 0.000
4 Bi 0.000 0.500 0.500
5 Bi 0.500 0.000 0.500

Calculated density, g/cm³: 6.36
Formation enthalpy at 0 K, eV per atom: 0.13
Calculated total energy, eV per cell: -15.09

---

Which of these has the lowest calculated total energy?
RbGaBiSe3